# Ba2VHgO | the Alexandria database | PBE+U | relaxed
# * space group: P4/mmm (123)
# * E: -2.835 eV per atom
data_Ba2VHgO
_chemical_formula_sum 'Ba2 V1 Hg1 O1'
_cell_length_a 6.366
_cell_length_b 6.366
_cell_length_c 5.177
_cell_angle_alpha 90.00
_cell_angle_beta 90.00
_cell_angle_gamma 90.00
_space_group_name_H-M_alt 'P 1'
_space_group_IT_number 1
loop_
_space_group_symop_operation_xyz
'x,y,z'
loop_
_atom_site_label
_atom_site_fract_x
_atom_site_fract_y
_atom_site_fract_z
Ba1 0.000 0.500 0.000
Ba2 0.500 0.000 0.000
V1 0.000 0.000 0.500
Hg1 0.000 0.000 0.000
O1 0.500 0.500 0.500